Record 1
# Ac2Zn6CuRu

A relaxed Ac2Zn6CuRu crystal (PBE-GGA, Alexandria).

ΔE_f: -15.3 kJ/mol of atoms

abc: 6.7576 6.7677 9.5772
angles: 90.00 90.00 90.00
Closest atoms and distances in Å follow each position.
Space group Immm (No. 71)
One atom of each set of equivalent atoms:
Ac: 0.0000 0.0000 0.2500 x4  12 Zn 3.38
Zn: 0.0000 0.5000 0.2459 x4  1 Cu 2.36, 1 Ru 2.43
Zn: 0.2457 0.2542 0.0000 x8  1 Cu 2.35, 1 Ru 2.43
Cu: 0.0000 0.5000 0.0000 x2  6 Zn 2.35-2.36
Ru: 0.0000 0.5000 0.5000 x2  6 Zn 2.43

Record 2
# TiZnGaRh

A relaxed TiZnGaRh crystal (PBE-GGA, Alexandria).

ΔE_f: -44.6 kJ/mol of atoms

abc: 6.1549 6.1549 6.1549
angles: 90.00 90.00 90.00
Closest atoms and distances in Å follow each position.
Space group F-43m (No. 216)
One atom of each set of equivalent atoms:
Ti: 0.0000 0.0000 0.0000 x4  4 Zn 2.67, 4 Ga 2.67
Zn: 0.2500 0.2500 0.7500 x4  4 Rh 2.67, 4 Ti 2.67
Ga: 0.2500 0.2500 0.2500 x4  4 Rh 2.67, 4 Ti 2.67
Rh: 0.0000 0.0000 0.5000 x4  4 Zn 2.67, 4 Ga 2.67

Record 3
# Pm2Sm5Th2

A relaxed Pm2Sm5Th2 crystal (PBE-GGA, Alexandria).

ΔE_f: 25.5 kJ/mol of atoms

abc: 23.0754 3.5075 8.0352
angles: 90.00 98.56 90.00
Closest atoms and distances in Å follow each position.
Space group C2/m (No. 12)
One atom of each set of equivalent atoms:
Pm: 0.1752 0.0000 0.1488 x4  2 Pm 3.51, 4 Sm 3.60-3.63, 2 Th 3.91
Sm: 0.0000 0.0000 0.0000 x2  4 Sm 3.21-3.51, 4 Th 3.44
Sm: 0.0899 0.0000 0.7318 x4  5 Sm 3.21-3.51, 2 Th 3.47
Sm: 0.1925 0.5000 0.5493 x4  1 Th 3.36, 6 Sm 3.37-3.51, 3 Pm 3.60-3.63
Th: 0.0529 0.5000 0.3585 x4  7 Sm 3.36-3.71, 3 Th 3.51-3.57

Record 4
# PuGaN

A relaxed PuGaN crystal (PBE-GGA, Alexandria).

formation energy from raw total energies: 0.05 eV/atom

abc: 4.1362 4.1362 6.8560
angles: 90.00 90.00 90.00
Closest atoms and distances in Å follow each position.
Space group I4mm (No. 107)
One atom of each set of equivalent atoms:
Pu: 0.0000 0.0000 0.0000 x2  1 N 2.10
Ga: 0.0000 0.0000 0.4182 x2  1 N 1.89
N: 0.0000 0.0000 0.6933 x2  1 Ga 1.89, 1 Pu 2.10